The following is a DFT calculation (GGA+U) of a relaxed structure of KBaNa2Ti3FeSi4O18.

Calculated values
- theoretical density (Mg/m³) = 3.46
- size of the total moment (μB per atom) = 0.1655
- energy (eV per atom) = -7.552
- crystal system = triclinic

a = 5.395 Å, b = 7.135 Å, c = 10.915 Å
α = 71.03°, β = 83.89°, γ = 89.98°
Space group P1 (No. 1)
One atom of each set of equivalent atoms:
K 0.000 0.000 0.000
Ba 0.520 0.563 0.880
Na 0.263 0.291 0.434
Na 0.763 0.552 0.435
Ti 0.263 0.791 0.435
Ti 0.559 0.138 0.720
Ti 0.961 0.417 0.154
Fe 0.761 0.014 0.437
Si 0.052 0.870 0.714
Si 0.066 0.437 0.706
Si 0.454 0.706 0.164
Si 0.473 0.141 0.157
O 0.045 0.620 0.772
O 0.062 0.952 0.555
O 0.108 0.532 0.548
O 0.218 0.636 0.106
O 0.237 0.271 0.099
O 0.292 0.931 0.774
O 0.304 0.312 0.765
O 0.414 0.644 0.324
O 0.463 0.065 0.317
O 0.477 0.952 0.101
O 0.536 0.790 0.530
O 0.605 0.195 0.552
O 0.714 0.627 0.112
O 0.733 0.270 0.088
O 0.789 0.924 0.783
O 0.799 0.315 0.758
O 0.914 0.307 0.322
O 0.986 0.881 0.347